1.
# LiIn2Co

An optimized crystal structure of LiIn2Co (PBEsol, Alexandria).

Summary:
- VASP energy: -4.03 eV per atom
- Calculated density: 7.7 g/cm³
- Energy of formation: -0.11 eV per atom
- Fermi-level density of states: 1.17 states/eV/cell

a b c (Å): 3.1804 3.1804 6.3397
angles (deg): 90.00 90.00 90.00
Space group P4/mmm (No. 123)
Unique sites:
Li 0.0000 0.0000 0.0000 (multiplicity 1)
In 0.5000 0.5000 0.2644 (multiplicity 2)
Co 0.0000 0.0000 0.5000 (multiplicity 1)


2.
# LiIn2Co

An optimized crystal structure of LiIn2Co (PBEsol, Alexandria).

Summary:
- VASP energy: -3.84 eV per atom
- Calculated density: 7.3 g/cm³
- Energy of formation: 0.08 eV per atom
- Fermi-level density of states: 2.41 states/eV/cell

a b c (Å): 3.4050 3.4050 5.7805
angles (deg): 90.00 90.00 90.00
Space group P4mm (No. 99)
Unique sites:
Li 0.0000 0.0000 0.0000 (multiplicity 1)
In 0.0000 0.0000 0.4334 (multiplicity 1)
In 0.5000 0.5000 0.7723 (multiplicity 1)
Co 0.5000 0.5000 0.2389 (multiplicity 1)


3.
# Li2InCo

An optimized crystal structure of Li2InCo (PBEsol, Alexandria).

Summary:
- VASP energy: -3.60 eV per atom
- Calculated density: 5.3 g/cm³
- Energy of formation: 0.06 eV per atom
- Fermi-level density of states: 2.62 states/eV/cell

a b c (Å): 2.8023 4.5983 4.5857
angles (deg): 90.00 94.62 90.00
Space group P2/m (No. 10)
Unique sites:
Li 0.2252 0.0000 0.2722 (multiplicity 2)
In 0.5000 0.5000 0.0000 (multiplicity 1)
Co 0.0000 0.5000 0.5000 (multiplicity 1)